Computed, not measured: crystalline Br at its relaxed geometry at the PBE-GGA level of DFT.

```
8
Lattice="-2.730 1.562 5.083 -3.949 -5.839 0.444 3.261 -6.000 6.756" Properties=species:S:1:pos:R:3 pbc="T T T"
Br 0.314 -3.906 9.111
Br -3.732 -6.370 3.172
Br -1.628 -1.614 4.134
Br -1.789 -8.663 8.149
Br -3.320 -2.749 5.696
Br -0.097 -7.528 6.587
Br -1.843 -6.906 4.822
Br -1.574 -3.370 7.461
```

## Properties
The total magnetization is 0.000 μB/atom. For the density of states at the Fermi level, the calculation gives 0.0000 states/eV/atom. The value obtained for the energy above the lowest structure with this stoichiometry is 22 meV per atom. The crystal system is triclinic. The calculated volume is 45.20 Å³ per atom. The value obtained for the uncorrected formation energy is 0.0225 eV/atom.